Record 1
A plane-wave DFT calculation with PBE was carried out for an optimized crystal structure of Zr3Re5.

distance to the lowest polymorph of the same formula = 322.2 meV/atom
symmetry = I4/mcm

a b c (Å): 5.3262 7.8412 7.8424
angles (deg): 96.63 109.88 70.15
Atoms (fractional coordinates):
Zr  0.3034  0.5000  0.1066
Zr  0.1975  0.1060  0.5006
Zr  0.6975  0.5000  0.8945
Zr  0.2506  0.9996  0.0002
Zr  0.7501  0.0004  0.0002
Zr  0.8035  0.8940  0.5006
Re  0.2302  0.3221  0.7817
Re  0.5518  0.2186  0.3223
Re  0.7503  0.5000  0.5002
Re  0.9486  0.3219  0.2191
Re  0.2704  0.7814  0.3223
Re  0.7303  0.2188  0.6784
Re  0.4491  0.7812  0.6784
Re  0.0523  0.6779  0.7817
Re  0.2504  0.5000  0.5004
Re  0.7705  0.6781  0.2191

***

Record 2
A plane-wave DFT calculation with PBE was carried out for an optimized crystal structure of Zr3Re2.

distance to the lowest polymorph of the same formula = 104.9 meV/atom
symmetry = R-3m

a b c (Å): 11.2365 11.2365 11.2365
angles (deg): 16.32 16.32 16.32
Atoms (fractional coordinates):
Zr  0.2073  0.2073  0.2073
Zr  0.7927  0.7927  0.7927
Zr  0.0000  0.0000  0.0000
Re  0.3978  0.3978  0.3978
Re  0.6022  0.6022  0.6022

***

Record 3
A plane-wave DFT calculation with PBE was carried out for an optimized crystal structure of ZrRe.

symmetry = I4/mmm

a b c (Å): 9.9708 9.9708 3.2542
angles (deg): 90.00 90.00 90.00
Atoms (fractional coordinates):
Zr  0.5000  0.1935  0.0000
Zr  0.8065  0.5000  0.0000
Zr  0.0000  0.3065  0.5000
Zr  0.5000  0.8065  0.0000
Zr  0.6935  0.0000  0.5000
Zr  0.3065  0.0000  0.5000
Zr  0.0000  0.6935  0.5000
Zr  0.1935  0.5000  0.0000
Re  0.6743  0.3257  0.5000
Re  0.1743  0.1743  0.0000
Re  0.8257  0.1743  0.0000
Re  0.8257  0.8257  0.0000
Re  0.3257  0.3257  0.5000
Re  0.1743  0.8257  0.0000
Re  0.6743  0.6743  0.5000
Re  0.3257  0.6743  0.5000

***

Record 4
A plane-wave DFT calculation with PBE was carried out for an optimized crystal structure of ZrRe3.

distance to the lowest polymorph of the same formula = 187.7 meV/atom
symmetry = Pmmm

a b c (Å): 3.8536 6.1258 2.8582
angles (deg): 90.00 90.00 90.00
Atoms (fractional coordinates):
Re  0.0000  0.9686  0.0000
Re  0.5000  0.7500  0.5000
Re  0.0000  0.5314  0.0000
Zr  0.5000  0.2500  0.5000

***

Record 5
A plane-wave DFT calculation with PBE was carried out for an optimized crystal structure of Zr3Re.

symmetry = R-3m

a b c (Å): 5.6006 3.0231 5.6006
angles (deg): 79.63 116.84 79.63
Atoms (fractional coordinates):
Re  0.0000  0.0000  0.0000
Zr  0.0000  0.5000  0.5000
Zr  0.5000  0.5000  0.0000
Zr  0.5000  0.0000  0.5000

***

Record 6
A plane-wave DFT calculation with PBE was carried out for an optimized crystal structure of ZrRe3.

distance to the lowest polymorph of the same formula = 234.0 meV/atom
symmetry = Cmcm

a b c (Å): 5.8590 5.8590 4.7272
angles (deg): 90.00 90.00 125.44
Atoms (fractional coordinates):
Zr  0.4204  0.5796  0.2500
Zr  0.5796  0.4204  0.7500
Re  0.9226  0.5668  0.2500
Re  0.4332  0.0774  0.2500
Re  0.0774  0.4332  0.7500
Re  0.0728  0.9272  0.7500
Re  0.5668  0.9226  0.7500
Re  0.9272  0.0728  0.2500

***

Record 7
A plane-wave DFT calculation with PBE was carried out for an optimized crystal structure of Zr2Re.

symmetry = P-62m

a b c (Å): 7.7440 7.7440 3.5310
angles (deg): 90.00 90.00 120.00
Atoms (fractional coordinates):
Re  0.3333  0.6667  0.0000
Re  0.0000  0.0000  0.5000
Re  0.6667  0.3333  0.0000
Zr  0.4083  0.4083  0.5000
Zr  0.2639  0.0000  0.0000
Zr  0.7361  0.7361  0.0000
Zr  0.5917  0.0000  0.5000
Zr  0.0000  0.5917  0.5000
Zr  0.0000  0.2639  0.0000

***

Record 8
A plane-wave DFT calculation with PBE was carried out for an optimized crystal structure of ZrRe2.

symmetry = Pnma

a b c (Å): 4.5466 8.2291 5.5037
angles (deg): 90.00 90.00 90.00
Atoms (fractional coordinates):
Zr  0.7500  0.0864  0.8370
Zr  0.7500  0.4136  0.3370
Zr  0.2500  0.5864  0.6630
Zr  0.2500  0.9136  0.1630
Re  0.2500  0.2655  0.0082
Re  0.7500  0.4282  0.8399
Re  0.2500  0.9282  0.6601
Re  0.7500  0.7345  0.9918
Re  0.7500  0.0718  0.3399
Re  0.2500  0.2345  0.5082
Re  0.7500  0.7655  0.4918
Re  0.2500  0.5718  0.1601

***

Record 9
A plane-wave DFT calculation with PBE was carried out for an optimized crystal structure of Zr4Re5.

distance to the lowest polymorph of the same formula = 247.0 meV/atom
symmetry = P6_3/mcm

a b c (Å): 8.3523 8.3523 5.3760
angles (deg): 90.00 90.00 60.00
Atoms (fractional coordinates):
Zr  0.3745  0.6255  0.7500
Zr  0.0000  0.0000  0.0000
Zr  0.6255  0.0000  0.7500
Zr  0.0000  0.3745  0.7500
Zr  0.3745  0.0000  0.2500
Zr  0.0000  0.6255  0.2500
Zr  0.0000  0.0000  0.5000
Zr  0.6255  0.3745  0.2500
Re  0.3045  0.0000  0.7500
Re  0.0000  0.6955  0.7500
Re  0.0000  0.3045  0.2500
Re  0.6955  0.0000  0.2500
Re  0.3333  0.3333  0.0000
Re  0.6667  0.6667  0.0000
Re  0.3333  0.3333  0.5000
Re  0.6667  0.6667  0.5000
Re  0.3045  0.6955  0.2500
Re  0.6955  0.3045  0.7500

***

Record 10
A plane-wave DFT calculation with PBE was carried out for an optimized crystal structure of ZrRe.

symmetry = P6_3/mmc

a b c (Å): 4.4360 5.0057 4.4360
angles (deg): 90.00 120.00 90.00
Atoms (fractional coordinates):
Re  0.0000  0.0000  0.0000
Re  0.0000  0.5000  0.0000
Zr  0.3333  0.7500  0.6667
Zr  0.6667  0.2500  0.3333

***

| no. | uncorrected energy (eV for the cell shown) | D(E_F) (states/eV per atom) | energy relative to the elements (eV per atom) |
| --- | --- | --- | --- |
| 1 | -172.92 | 0.7301 | 0.178 |
| 2 | -49.83 | 0.6549 | 0.142 |
| 3 | -162.68 | 1.0700 | 0.331 |
| 4 | -45.19 | 0.9206 | 0.177 |
| 5 | -37.85 | 1.4191 | 0.060 |
| 6 | -90.00 | 0.9837 | 0.223 |
| 7 | -88.79 | 1.2508 | -0.018 |
| 8 | -133.18 | 0.6313 | 0.050 |
| 9 | -188.75 | 0.8813 | 0.229 |
| 10 | -41.12 | 0.9703 | 0.218 |